Entry 1:
Ba3InRe: relaxed, PBEsol.

Summary:
As for the density of states at the Fermi level: 8.8 states/eV per cell. The energy of formation from the pure elements comes out at 1404 meV per atom. As for the crystal system: cubic. Its total energy is -15.74 eV per cell.

abc: 6.3903 6.3903 6.3903
angles: 90.00 90.00 90.00
Space group Pm-3m (No. 221)
Inequivalent atoms, fractional coordinates:
1 Ba 0.0000 0.0000 0.5000
2 In 0.0000 0.0000 0.0000
3 Re 0.5000 0.5000 0.5000

---

Entry 2:
Cs4FeO3: relaxed, PBEsol.

Summary:
As for the crystal system: triclinic. Its total energy is -75.96 eV per cell.

abc: 6.9563 7.0145 9.8684
angles: 80.48 71.63 64.24
Space group P-1 (No. 2)
Inequivalent atoms, fractional coordinates:
1 Cs 0.0230 0.2532 0.4005
2 Cs 0.2049 0.2013 0.0082
3 Cs 0.2703 0.6481 0.1473
4 Cs 0.4403 0.2136 0.6205
5 Fe 0.3139 0.7971 0.7644
6 O 0.1352 0.0183 0.6686
7 O 0.2661 0.5562 0.8258
8 O 0.4544 0.1758 0.2010

---

Entry 3:
Ba2Ce2O5: relaxed, PBEsol.

Summary:
As for the density of states at the Fermi level: 16.5 states/eV per cell. As for the crystal system: orthorhombic. Its total energy is -140.40 eV per cell.

abc: 6.1430 12.6941 4.3979
angles: 90.00 90.00 90.00
Space group Pbam (No. 55)
Inequivalent atoms, fractional coordinates:
1 Ba 0.2478 0.1042 0.0000
2 Ce 0.2470 0.3619 0.5000
3 O 0.0000 0.0000 0.5000
4 O 0.0966 0.7057 0.5000
5 O 0.1919 0.3977 0.0000

---

Entry 4:
ReBiN2O: relaxed, PBEsol.

Summary:
As for the density of states at the Fermi level: 1.4 states/eV per cell. As for the crystal system: tetragonal. Its total energy is -30.07 eV per cell.

abc: 4.2510 4.2510 4.0447
angles: 90.00 90.00 90.00
Space group P4/mmm (No. 123)
Inequivalent atoms, fractional coordinates:
1 Re 0.0000 0.0000 0.0000
2 Bi 0.5000 0.5000 0.5000
3 N 0.0000 0.5000 0.5000
4 O 0.5000 0.5000 0.0000

---

Entry 5:
ZnCdCu2: relaxed, PBEsol.

Summary:
As for the density of states at the Fermi level: 2.2 states/eV per cell. The energy of formation from the pure elements comes out at 30 meV per atom. As for the crystal system: orthorhombic. Its total energy is -22.66 eV per cell.

abc: 5.6433 6.8571 2.8851
angles: 90.00 90.00 90.00
Space group Cmmm (No. 65)
Inequivalent atoms, fractional coordinates:
1 Zn 0.0000 0.0000 0.0000
2 Cd 0.0000 0.5000 0.0000
3 Cu 0.2500 0.2500 0.5000

---

Entry 6:
BeMo3Cl: relaxed, PBEsol.

Summary:
As for the density of states at the Fermi level: 2.5 states/eV per cell. As for the crystal system: cubic. Its total energy is -35.62 eV per cell.

abc: 4.3081 4.3081 4.3081
angles: 90.00 90.00 90.00
Space group Pm-3m (No. 221)
Inequivalent atoms, fractional coordinates:
1 Be 0.0000 0.0000 0.0000
2 Mo 0.0000 0.5000 0.5000
3 Cl 0.5000 0.5000 0.5000

---

Entry 7:
Ti2ZnTcBr: relaxed, PBEsol.

Summary:
As for the density of states at the Fermi level: 6.5 states/eV per cell. As for the crystal system: tetragonal. Its total energy is -27.35 eV per cell.

abc: 4.5550 4.5550 4.5059
angles: 90.00 90.00 90.00
Space group P4/mmm (No. 123)
Inequivalent atoms, fractional coordinates:
1 Ti 0.0000 0.5000 0.0000
2 Zn 0.0000 0.0000 0.5000
3 Tc 0.5000 0.5000 0.5000
4 Br 0.5000 0.5000 0.0000

---

Entry 8:
TaTlSn2Sb: relaxed, PBEsol.

Summary:
As for the density of states at the Fermi level: 5.7 states/eV per cell. As for the crystal system: tetragonal. Its total energy is -20.98 eV per cell.

abc: 5.4433 5.4433 5.3294
angles: 90.00 90.00 90.00
Space group P4/mmm (No. 123)
Inequivalent atoms, fractional coordinates:
1 Ta 0.0000 0.0000 0.0000
2 Tl 0.0000 0.0000 0.5000
3 Sn 0.0000 0.5000 0.5000
4 Sb 0.5000 0.5000 0.0000

---

Entry 9:
ZrAg2Sb: relaxed, PBEsol.

Summary:
As for the density of states at the Fermi level: 4.2 states/eV per cell. As for the crystal system: orthorhombic. Its total energy is -41.88 eV per cell.

abc: 4.2112 3.0968 12.1464
angles: 90.00 90.00 90.00
Space group Amm2 (No. 38)
Inequivalent atoms, fractional coordinates:
1 Zr 0.0000 0.0000 0.0000
2 Ag 0.0000 0.0000 0.2375
3 Ag 0.5000 0.0000 0.6398
4 Sb 0.5000 0.0000 0.3893

---

Entry 10:
Fe3TcAs: relaxed, PBEsol.

Summary:
As for the density of states at the Fermi level: 8.2 states/eV per cell. The energy of formation from the pure elements comes out at 1180 meV per atom. As for the crystal system: cubic. Its total energy is -37.36 eV per cell.

abc: 4.2192 4.2192 4.2192
angles: 90.00 90.00 90.00
Space group Pm-3m (No. 221)
Inequivalent atoms, fractional coordinates:
1 Fe 0.0000 0.0000 0.5000
2 Tc 0.5000 0.5000 0.5000
3 As 0.0000 0.0000 0.0000

---

Entry 11:
YMgCu: relaxed, PBEsol.

Summary:
As for the density of states at the Fermi level: 9.4 states/eV per cell. The energy of formation from the pure elements comes out at -107 meV per atom. As for the crystal system: orthorhombic. Its total energy is -52.78 eV per cell.

abc: 6.5250 6.9371 5.4781
angles: 90.00 90.00 90.00
Space group Pbcm (No. 57)
Inequivalent atoms, fractional coordinates:
1 Y 0.0926 0.0860 0.2500
2 Mg 0.4132 0.0642 0.7500
3 Cu 0.2742 0.7500 0.0000

---

Entry 12:
BeTcHg2: relaxed, PBEsol.

Summary:
As for the density of states at the Fermi level: 3.3 states/eV per cell. The energy of formation from the pure elements comes out at 335 meV per atom. As for the crystal system: tetragonal. Its total energy is -15.06 eV per cell.

abc: 3.0239 3.0239 6.9816
angles: 90.00 90.00 90.00
Space group P4mm (No. 99)
Inequivalent atoms, fractional coordinates:
1 Be 0.0000 0.0000 0.0000
2 Tc 0.5000 0.5000 0.8639
3 Hg 0.0000 0.0000 0.5862
4 Hg 0.5000 0.5000 0.2638